Entry 1:
An optimized crystal structure of BaLiNi2. Source: Alexandria via LeMat-Bulk, functional PBEsol.

Unit cell a=4.1945 b=4.2200 c=5.0275 alpha=114.82 beta=114.66 gamma=90.00
Fractional coordinates of all 4 atoms:
Li: 0.0000 0.5000 0.0000
Ni: 0.2504 0.2504 0.5008
Ni: 0.7496 0.7496 0.4992
Ba: 0.5000 0.0000 0.0000

Output
Uncorrected energy (eV per atom): -3.6174
Energy above the lowest structure with this stoichiometry (meV/atom): 393
Energy of formation from the pure elements (eV per atom): 0.490
Total moment (μB/atom): 0.00
Space-group type: Immm (71)

Entry 2:
An optimized crystal structure of BaLiNi2. Source: Alexandria via LeMat-Bulk, functional PBEsol.

Unit cell a=4.0951 b=4.0988 c=5.9507 alpha=109.96 beta=90.00 gamma=119.97
Site moments in Bohr magnetons follow the coordinates.
Fractional coordinates of all 4 atoms:
Li: 0.6974 0.3947 0.0937  0.00
Ba: 0.5123 0.0246 0.5341  -0.01
Ni: 0.3094 0.6187 0.9289  0.25
Ni: 0.9810 0.9620 0.9433  0.26

Output
Uncorrected energy (eV per atom): -4.0104
Energy above the lowest structure with this stoichiometry (meV/atom): 0
Energy of formation from the pure elements (eV per atom): 0.097
Total moment (μB/atom): 0.11
Space-group type: Cm (8)

Entry 3:
An optimized crystal structure of BaLi2Ni. Source: Alexandria via LeMat-Bulk, functional PBEsol.

Unit cell a=4.9093 b=4.9093 c=4.9093 alpha=60.00 beta=60.00 gamma=60.00
Fractional coordinates of all 4 atoms:
Li: 0.2500 0.2500 0.2500
Li: 0.7500 0.7500 0.7500
Ni: 0.5000 0.5000 0.5000
Ba: 0.0000 0.0000 0.0000

Output
Uncorrected energy (eV per atom): -2.7012
Energy of formation from the pure elements (eV per atom): 0.359
Total moment (μB/atom): 0.00
Space-group type: Fm-3m (225)

Entry 4:
An optimized crystal structure of BaLiNi. Source: Alexandria via LeMat-Bulk, functional PBEsol.

Unit cell a=4.8672 b=4.8672 c=4.8672 alpha=60.00 beta=60.00 gamma=60.00
Fractional coordinates of all 3 atoms:
Li: 0.5000 0.5000 0.5000
Ni: 0.2500 0.2500 0.2500
Ba: 0.0000 0.0000 0.0000

Output
Uncorrected energy (eV per atom): -3.0689
Energy of formation from the pure elements (eV per atom): 0.355
Total moment (μB/atom): 0.09
Space-group type: F-43m (216)

Entry 5:
An optimized crystal structure of BaLi3Ni. Source: Alexandria via LeMat-Bulk, functional PBEsol.

Unit cell a=4.9071 b=4.9071 c=4.9071 alpha=90.00 beta=90.00 gamma=90.00
Fractional coordinates of all 5 atoms:
Li: 0.0000 0.5000 0.0000
Li: 0.0000 0.0000 0.5000
Li: 0.5000 0.0000 0.0000
Ni: 0.0000 0.0000 0.0000
Ba: 0.5000 0.5000 0.5000

Output
Uncorrected energy (eV per atom): -2.6185
Energy of formation from the pure elements (eV per atom): 0.223
Total moment (μB/atom): 0.00
Space-group type: Pm-3m (221)

Entry 6:
An optimized crystal structure of Ba3LiNi. Source: Alexandria via LeMat-Bulk, functional PBEsol.

Unit cell a=6.0021 b=6.0021 c=6.0021 alpha=90.00 beta=90.00 gamma=90.00
Fractional coordinates of all 5 atoms:
Ni: 0.0000 0.0000 0.0000
Ba: 0.0000 0.0000 0.5000
Ba: 0.5000 0.0000 0.0000
Ba: 0.0000 0.5000 0.0000
Li: 0.5000 0.5000 0.5000

Output
Uncorrected energy (eV per atom): -2.8311
Energy of formation from the pure elements (eV per atom): 0.083
Total moment (μB/atom): 0.00
Space-group type: Pm-3m (221)